Entry 1:
Material: ReAuF2
Method: DFT, PBE
State: relaxed

Properties
magnetic moment = 0.000 μB/f.u.
volume = 67.8 Å³/cell
total DFT energy (no corrections) = -5.802 eV/atom
space group = R-3m
energy relative to the elements, uncorrected = -0.935 eV per atom
energy relative to the lowest polymorph listed for this composition = 0.00 eV per formula unit

Cell: 10.4864 10.4864 10.4864 Å, 15.06 15.06 15.06°
Positions (direct):
Re (0.0000, 0.0000, 0.0000)
Au (0.5000, 0.5000, 0.5000)
F (0.9393, 0.9393, 0.9393)
F (0.0607, 0.0607, 0.0607)

=====

Entry 2:
Material: Ru2PbSe
Method: DFT, PBE
State: relaxed

Properties
magnetic moment = 1.192 μB/f.u.
volume = 82.6 Å³/cell
total DFT energy (no corrections) = -6.070 eV/atom
space group = R3m
energy relative to the elements, uncorrected = 0.366 eV per atom
energy relative to the lowest polymorph listed for this composition = 0.54 eV per formula unit

Cell: 10.1512 10.1512 10.1512 Å, 17.50 17.50 17.50°
Site moments in Bohr magnetons follow the coordinates.
Positions (direct):
Se (0.5284, 0.5284, 0.5284)  -0.01
Pb (0.7328, 0.7328, 0.7328)  0.00
Ru (0.2513, 0.2513, 0.2513)  0.45
Ru (0.9875, 0.9875, 0.9875)  0.74

=====

Entry 3:
Material: ScBeCd2B
Method: DFT, PBE
State: relaxed

Properties
magnetic moment = 0.000 μB/f.u.
volume = 96.2 Å³/cell
total DFT energy (no corrections) = -2.835 eV/atom
space group = P4/mmm
formation energy = 0.8785 eV/atom

Cell: 4.4409 4.8785 4.4409 Å, 90.00 90.00 90.00°
Positions (direct):
Be (0.0000, 0.0000, 0.0000)
B (0.5000, 0.5000, 0.5000)
Sc (0.0000, 0.5000, 0.0000)
Cd (0.0000, 0.0000, 0.5000)
Cd (0.5000, 0.0000, 0.0000)

=====

Entry 4:
Material: KBeNiMo2
Method: DFT, PBE
State: relaxed

Properties
magnetic moment = 2.637 μB/f.u.
volume = 112.3 Å³/cell
total DFT energy (no corrections) = -4.531 eV/atom
space group = P4/mmm
formation energy = 1.9223 eV/atom

Cell: 4.5703 5.3785 4.5703 Å, 90.00 90.00 90.00°
Site moments in Bohr magnetons follow the coordinates.
Positions (direct):
Mo (0.0000, 0.0000, 0.5000)  0.86
Mo (0.5000, 0.0000, 0.0000)  1.25
Be (0.5000, 0.5000, 0.5000)  -0.04
K (0.0000, 0.5000, 0.0000)  0.01
Ni (0.0000, 0.0000, 0.0000)  0.16

=====

Entry 5:
Material: GaGe2H5CNO6
Method: DFT, PBE
State: relaxed

Properties
magnetic moment = 0.000 μB/f.u.
volume = 355.3 Å³/cell
total DFT energy (no corrections) = -5.881 eV/atom
space group = P-1

Cell: 7.2004 7.8832 7.7908 Å, 112.82 109.30 101.84°
Positions (direct):
O (0.9951, 0.0539, 0.2261)
O (0.4486, 0.2496, 0.4808)
O (0.5514, 0.7504, 0.5192)
O (0.2587, 0.6879, 0.6899)
O (0.0049, 0.9461, 0.7739)
O (0.7251, 0.1294, 0.9029)
O (0.7913, 0.1055, 0.5436)
O (0.2087, 0.8945, 0.4564)
O (0.7413, 0.3121, 0.3101)
O (0.1336, 0.4670, 0.2431)
O (0.8664, 0.5330, 0.7569)
O (0.2749, 0.8706, 0.0971)
H (0.2409, 0.1274, 0.8743)
H (0.7149, 0.5308, 0.9906)
H (0.4776, 0.2680, 0.1015)
H (0.5127, 0.8212, 0.1209)
H (0.4873, 0.1788, 0.8791)
H (0.2851, 0.4692, 0.0094)
H (0.3168, 0.3827, 0.7755)
H (0.6832, 0.6173, 0.2245)
H (0.5224, 0.7320, 0.8985)
H (0.7591, 0.8726, 0.1257)
Ge (0.2805, 0.6959, 0.4743)
Ge (0.7195, 0.3041, 0.5257)
Ge (0.7680, 0.9861, 0.6926)
Ge (0.2320, 0.0139, 0.3074)
Ga (0.0812, 0.7478, 0.8127)
Ga (0.9188, 0.2522, 0.1873)
N (0.6039, 0.7629, 0.0520)
N (0.3961, 0.2371, 0.9480)
C (0.3879, 0.4204, 0.9402)
C (0.6121, 0.5796, 0.0598)

=====

Entry 6:
Material: BeCr2S2
Method: DFT, PBE
State: relaxed

Properties
magnetic moment = 1.289 μB/f.u.
volume = 65.7 Å³/cell
total DFT energy (no corrections) = -6.153 eV/atom
space group = I4/mmm
energy relative to the elements, uncorrected = 0.093 eV per atom
energy relative to the lowest polymorph listed for this composition = 0.00 eV per formula unit

Cell: 3.9999 3.9999 4.9842 Å, 66.34 66.34 90.00°
Site moments in Bohr magnetons follow the coordinates.
Positions (direct):
Cr (0.2500, 0.7500, 0.5000)  0.67
Cr (0.7500, 0.2500, 0.5000)  0.67
S (0.6368, 0.6368, 0.7264)  -0.04
S (0.3632, 0.3632, 0.2736)  -0.04
Be (0.0000, 0.0000, 0.0000)  -0.02

=====

Entry 7:
Material: Hf2ZrTa2
Method: DFT, PBE
State: relaxed

Properties
magnetic moment = 0.000 μB/f.u.
volume = 215.5 Å³/cell
total DFT energy (no corrections) = -10.158 eV/atom
space group = P4/mbm
formation energy = 0.2736 eV/atom
energy relative to the lowest polymorph listed for this composition = 0.00 eV per formula unit

Cell: 7.6279 7.6279 3.7033 Å, 90.00 90.00 90.00°
Positions (direct):
Hf (0.3342, 0.1658, 0.5000)
Hf (0.6658, 0.8342, 0.5000)
Hf (0.8342, 0.3342, 0.5000)
Hf (0.1658, 0.6658, 0.5000)
Zr (0.0000, 0.0000, 0.0000)
Zr (0.5000, 0.5000, 0.0000)
Ta (0.8704, 0.6296, 0.0000)
Ta (0.3704, 0.8704, 0.0000)
Ta (0.6296, 0.1296, 0.0000)
Ta (0.1296, 0.3704, 0.0000)

=====

Entry 8:
Material: La4Tl2Hg
Method: DFT, PBE
State: relaxed

Properties
magnetic moment = 0.000 μB/f.u.
volume = 275.9 Å³/cell
total DFT energy (no corrections) = -3.574 eV/atom
space group = I4/mmm
formation energy = -0.0394 eV/atom
energy relative to the lowest polymorph listed for this composition = 1.95 eV per formula unit

Cell: 5.8455 5.8455 9.0714 Å, 71.20 71.20 90.00°
Positions (direct):
La (0.8070, 0.8070, 0.3860)
La (0.5000, 0.0000, 0.0000)
La (0.1930, 0.1930, 0.6140)
La (0.0000, 0.5000, 0.0000)
Tl (0.6130, 0.6130, 0.7740)
Tl (0.3870, 0.3870, 0.2260)
Hg (0.0000, 0.0000, 0.0000)

=====

- Which value of magnetic moment does entry 5 give?
  0.000 μB/f.u.